Density functional theory data (PBE+U) for a geometry-optimized CoIF2 structure.

abc: 6.318 6.318 6.318
angles: 120.32 120.32 89.44
Element x y z (fractional)
Co 0.375 0.625 0.750
Co 0.625 0.375 0.250
I 0.125 0.875 0.250
I 0.875 0.125 0.750
F 0.000 0.500 0.500
F 0.500 0.000 0.000
F 0.500 0.500 0.000
F 0.500 0.500 0.500

Density of states at the Fermi level in states/eV per cell: 20.6
Energy above the lowest structure with this stoichiometry in meV per atom: 205